Computed, not measured: a relaxed Te2RuWN crystal at the PBE level of DFT.

The structure belongs to space group P4/mmm (No. 123); the cell edges are 5.364, 5.364 and 3.754 Å and the angles 90.00°, 90.00° and 90.00°. The distinct sites, in fractional coordinates, are Te at (0.000, 0.500, 0.000), Ru at (0.000, 0.000, 0.500), W at (0.500, 0.500, 0.000) and N at (0.500, 0.500, 0.500).

The value obtained for the uncorrected formation energy is 869 meV per atom. The calculation puts the total moment at 1.39 μB per formula unit.

Computed, not measured: a relaxed Te2RuWN crystal at the PBE level of DFT.

The structure belongs to space group P4/mmm (No. 123); the cell edges are 4.857, 4.857 and 3.760 Å and the angles 90.00°, 90.00° and 90.00°. The distinct sites, in fractional coordinates, are Te at (0.000, 0.500, 0.000), Ru at (0.000, 0.000, 0.500), W at (0.500, 0.500, 0.500) and N at (0.000, 0.000, 0.000).

The value obtained for the uncorrected formation energy is 1127 meV per atom. The calculation puts the total moment at 0.00 μB per formula unit.

Computed, not measured: a relaxed Te2RuWN crystal at the PBE level of DFT.

The structure belongs to space group P4/mmm (No. 123); the cell edges are 5.343, 5.343 and 3.625 Å and the angles 90.00°, 90.00° and 90.00°. The distinct sites, in fractional coordinates, are Te at (0.000, 0.500, 0.000), Ru at (0.000, 0.000, 0.000), W at (0.500, 0.500, 0.500) and N at (0.000, 0.000, 0.500).

The value obtained for the uncorrected formation energy is 975 meV per atom. The calculation puts the total moment at 2.78 μB per formula unit.

Computed, not measured: a relaxed YTeRuN2 crystal at the PBE level of DFT.

The structure belongs to space group P4/mmm (No. 123); the cell edges are 4.340, 4.340 and 6.280 Å and the angles 90.00°, 90.00° and 90.00°. The distinct sites, in fractional coordinates, are Y at (0.000, 0.000, 0.000), Te at (0.000, 0.000, 0.500), Ru at (0.500, 0.500, 0.500) and N at (0.000, 0.500, 0.000).

The value obtained for the uncorrected formation energy is 1313 meV per atom. The calculation puts the total moment at 6.19 μB per formula unit.

Computed, not measured: a relaxed YTe2RuN crystal at the PBE level of DFT.

The structure belongs to space group P4/mmm (No. 123); the cell edges are 5.926, 5.926 and 4.023 Å and the angles 90.00°, 90.00° and 90.00°. The distinct sites, in fractional coordinates, are Y at (0.000, 0.000, 0.000), Te at (0.000, 0.500, 0.000), Ru at (0.500, 0.500, 0.500) and N at (0.000, 0.000, 0.500).

The value obtained for the uncorrected formation energy is 963 meV per atom. The calculation puts the total moment at 2.36 μB per formula unit.

Computed, not measured: a relaxed YTe2RuN crystal at the PBE level of DFT.

The structure belongs to space group P4/mmm (No. 123); the cell edges are 5.495, 5.495 and 3.739 Å and the angles 90.00°, 90.00° and 90.00°. The distinct sites, in fractional coordinates, are Y at (0.000, 0.000, 0.000), Te at (0.000, 0.500, 0.500), Ru at (0.500, 0.500, 0.500) and N at (0.500, 0.500, 0.000).

The value obtained for the uncorrected formation energy is -273 meV per atom. The calculation puts the total moment at 0.00 μB per formula unit.

Computed, not measured: a relaxed YTeRu2N crystal at the PBE level of DFT.

The structure belongs to space group P4/mmm (No. 123); the cell edges are 4.898, 4.898 and 4.215 Å and the angles 90.00°, 90.00° and 90.00°. The distinct sites, in fractional coordinates, are Y at (0.000, 0.000, 0.000), Te at (0.500, 0.500, 0.500), Ru at (0.000, 0.500, 0.500) and N at (0.500, 0.500, 0.000).

The value obtained for the uncorrected formation energy is 977 meV per atom. The calculation puts the total moment at 2.02 μB per formula unit.

Computed, not measured: a relaxed YTeRuN2 crystal at the PBE level of DFT.

The structure belongs to space group P4/mmm (No. 123); the cell edges are 4.045, 4.045 and 5.395 Å and the angles 90.00°, 90.00° and 90.00°. The distinct sites, in fractional coordinates, are Y at (0.000, 0.000, 0.000), Te at (0.500, 0.500, 0.000), Ru at (0.500, 0.500, 0.500) and N at (0.000, 0.500, 0.500).

The value obtained for the uncorrected formation energy is 344 meV per atom. The calculation puts the total moment at 0.18 μB per formula unit.

Computed, not measured: a relaxed ZrTeRuN2 crystal at the PBE level of DFT.

The structure belongs to space group P4/mmm (No. 123); the cell edges are 3.972, 3.972 and 5.338 Å and the angles 90.00°, 90.00° and 90.00°. The distinct sites, in fractional coordinates, are Zr at (0.000, 0.000, 0.000), Te at (0.500, 0.500, 0.000), Ru at (0.500, 0.500, 0.500) and N at (0.000, 0.500, 0.500).

The value obtained for the uncorrected formation energy is 730 meV per atom. The calculation puts the total moment at 0.00 μB per formula unit.

Computed, not measured: a relaxed ZrTeRuN2 crystal at the PBE level of DFT.

The structure belongs to space group P4/mmm (No. 123); the cell edges are 4.102, 4.102 and 6.108 Å and the angles 90.00°, 90.00° and 90.00°. The distinct sites, in fractional coordinates, are Zr at (0.000, 0.000, 0.000), Te at (0.000, 0.000, 0.500), Ru at (0.500, 0.500, 0.500) and N at (0.000, 0.500, 0.000).

The value obtained for the uncorrected formation energy is 922 meV per atom. The calculation puts the total moment at 2.85 μB per formula unit.

Computed, not measured: a relaxed ThRuN crystal at the PBE level of DFT.

The structure belongs to space group Pnma (No. 62); the cell edges are 6.508, 4.978 and 6.005 Å and the angles 90.00°, 90.00° and 90.00°. The distinct sites, in fractional coordinates, are Th at (0.184, 0.250, 0.148), Ru at (0.032, 0.250, 0.659) and N at (0.158, 0.750, 0.055).

The value obtained for the uncorrected formation energy is -744 meV per atom. The calculation puts the total moment at 0.00 μB per formula unit.

Computed, not measured: a relaxed Th2RuN crystal at the PBE level of DFT.

The structure belongs to space group P2/c (No. 13); the cell edges are 5.734, 5.508 and 11.714 Å and the angles 90.00°, 113.70° and 90.00°. The distinct sites, in fractional coordinates, are Th at (0.073, 0.246, 0.105), Th at (0.342, 0.278, 0.858), Ru at (0.404, 0.227, 0.359) and N at (0.052, 0.308, 0.620).

The value obtained for the uncorrected formation energy is -893 meV per atom. The calculation puts the total moment at 0.00 μB per formula unit.

Computed, not measured: a relaxed Th2RuN crystal at the PBE level of DFT.

The structure belongs to space group R-3m (No. 166, hexagonal axes); the cell edges are 3.8293, 3.8293 and 19.8111 Å and the angles 90.00°, 90.00° and 120.00°. The distinct sites, in fractional coordinates, are Th at (0.0000, 0.0000, 0.2421), Ru at (0.0000, 0.0000, 0.0000) and N at (0.0000, 0.0000, 0.5000).

The value obtained for the uncorrected formation energy is -741 meV per atom. The calculation puts the total moment at 0.00 μB per formula unit.